DFT (PBE) results for a relaxed Ca2CdCu crystal.

Geometry as POSCAR:
```
Ca2CdCu
1.0
0.000 3.609 3.609
3.609 0.000 3.609
3.609 3.609 0.000
Ca Cd Cu
2 1 1
Cartesian
0.000 0.000 0.000
1.805 1.805 1.805
3.609 3.609 3.609
5.414 5.414 5.414
```

Results
energy of formation from the pure elements = -0.002 eV per atom
space-group type = No. 216

---

DFT (PBE) results for a relaxed TbLuBeZn crystal.

Geometry as POSCAR:
```
TbLuBeZn
1.0
0.000 3.467 3.467
3.467 0.000 3.467
3.467 3.467 0.000
Tb Lu Be Zn
1 1 1 1
Cartesian
0.000 0.000 0.000
3.467 3.467 3.467
5.200 5.200 5.200
1.733 1.733 1.733
```

Results
energy of formation from the pure elements = -0.117 eV per atom
space-group type = No. 216

---

DFT (PBE) results for a relaxed Tb3Pm3Tm2 crystal.

Geometry as POSCAR:
```
Tb3Pm3Tm2
1.0
-2.530 2.531 10.092
2.530 -2.531 10.092
2.530 2.531 -10.092
Tb Pm Tm
3 3 2
Cartesian
0.000 0.000 0.000
2.530 0.000 7.527
0.000 2.531 2.565
2.530 0.000 2.552
0.000 0.000 10.092
0.000 2.531 7.540
0.000 0.000 5.054
0.000 0.000 15.130
```

Results
energy of formation from the pure elements = 0.021 eV per atom
space-group type = No. 71

---

DFT (PBE) results for a relaxed Sm4TlGa2 crystal.

Geometry as POSCAR:
```
Sm4TlGa2
1.0
2.561 1.479 9.215
-2.561 1.479 9.215
0.000 -2.958 9.215
Sm Tl Ga
4 1 2
Cartesian
0.000 0.000 3.262
0.000 0.000 8.167
0.000 0.000 19.478
0.000 0.000 24.384
0.000 0.000 13.823
0.000 0.000 11.099
0.000 0.000 16.547
```

Results
energy of formation from the pure elements = -0.245 eV per atom
space-group type = No. 166

---

DFT (PBE) results for a relaxed ZnCuRh2 crystal.

Geometry as POSCAR:
```
ZnCuRh2
1.0
1.374 -2.304 0.000
1.374 2.304 0.000
0.000 0.000 8.808
Zn Cu Rh
1 1 2
Cartesian
0.000 0.000 0.000
1.374 0.000 6.683
0.000 0.000 4.489
1.374 0.000 2.185
```

Results
energy of formation from the pure elements = 0.048 eV per atom
space-group type = No. 35

---

DFT (PBE) results for a relaxed CsH3I crystal.

Geometry as POSCAR:
```
CsH3I
1.0
5.721 0.000 0.000
1.652 6.053 0.000
0.259 0.136 8.701
Cs H I
2 6 2
Cartesian
1.466 1.343 1.919
6.166 4.846 6.782
0.343 0.245 4.614
3.637 2.887 4.612
3.758 2.953 8.445
3.874 3.236 0.256
3.995 3.302 4.089
7.289 5.944 4.087
1.746 1.316 6.807
5.887 4.873 1.894
```

Results
space-group type = No. 2

---

DFT (PBE) results for a relaxed Tb2Nd2SmY2 crystal.

Geometry as POSCAR:
```
Tb2Nd2SmY2
1.0
5.830 -1.749 0.000
5.830 1.749 0.000
-2.383 0.000 11.723
Tb Nd Sm Y
2 2 1 2
Cartesian
1.650 0.000 0.848
7.628 0.000 10.875
1.504 0.000 4.306
7.773 0.000 7.418
4.639 0.000 5.862
-0.793 0.000 9.116
10.071 0.000 2.608
```

Results
energy of formation from the pure elements = 0.156 eV per atom
space-group type = No. 12

---

DFT (PBE) results for a relaxed Na2CrI4 crystal.

Geometry as POSCAR:
```
Na2CrI4
1.0
-3.910 3.910 4.582
3.910 -3.910 4.582
3.910 3.910 -4.582
Na Cr I
2 1 4
Cartesian
3.910 0.000 2.291
0.000 3.910 2.291
0.000 0.000 0.000
2.062 -2.062 3.873
1.848 1.848 0.709
-2.062 2.062 3.873
2.062 2.062 5.291
```

Results
formation energy from raw total energies = -782 meV per atom
space-group type = No. 121

---

DFT (PBE) results for a relaxed CaPmY2S4 crystal.

Geometry as POSCAR:
```
CaPmY2S4
1.0
6.877 0.000 0.000
0.000 3.950 0.000
-2.260 0.000 6.514
Ca Pm Y S
1 1 2 4
Cartesian
0.000 0.000 0.000
-1.130 1.975 3.257
2.308 0.000 3.257
3.439 1.975 0.000
1.198 1.975 1.622
0.061 0.000 4.929
4.556 0.000 1.585
3.419 1.975 4.893
```

Results
formation energy from raw total energies = -2034 meV per atom
space-group type = No. 10

---

DFT (PBE) results for a relaxed KNaSeS crystal.

Geometry as POSCAR:
```
KNaSeS
1.0
2.361 1.363 6.186
-2.361 1.363 6.186
0.000 -2.726 6.186
K Na Se S
1 1 1 1
Cartesian
0.000 0.000 0.000
0.000 0.000 3.407
0.000 0.000 8.298
0.000 0.000 10.604
```

Results
formation energy from raw total energies = -836 meV per atom
space-group type = No. 160

---

DFT (PBE) results for a relaxed ScNbIN2 crystal.

Geometry as POSCAR:
```
ScNbIN2
1.0
4.113 0.000 0.000
0.000 4.113 0.000
0.000 0.000 5.559
Sc Nb I N
1 1 1 2
Cartesian
0.000 0.000 0.000
2.056 2.056 2.779
2.056 2.056 0.000
0.000 2.056 2.779
2.056 0.000 2.779
```

Results
formation energy from raw total energies = 231 meV per atom
space-group type = No. 123

---

DFT (PBE) results for a relaxed CsHg5S4 crystal.

Geometry as POSCAR:
```
CsHg5S4
1.0
9.869 0.000 0.000
0.000 12.386 0.000
0.000 0.000 5.203
Cs Hg S
2 10 8
Cartesian
2.467 3.096 0.115
7.402 9.289 5.088
0.728 6.993 3.445
0.728 11.586 3.445
2.467 9.289 1.129
4.206 6.993 3.445
4.206 11.586 3.445
5.663 0.800 1.758
5.663 5.393 1.758
7.402 3.096 4.074
9.141 0.800 1.758
9.141 5.393 1.758
0.132 9.289 2.384
2.467 6.863 0.083
2.467 11.716 0.083
4.802 9.289 2.384
5.067 3.096 2.819
7.402 0.670 5.120
7.402 5.523 5.120
9.737 3.096 2.819
```

Results
formation energy from raw total energies = -202 meV per atom
space-group type = No. 59

---

DFT (PBE) results for a relaxed Dy5Pu3Te8 crystal.

Geometry as POSCAR:
```
Dy5Pu3Te8
1.0
4.363 2.519 7.209
-4.363 2.519 7.209
0.000 -5.038 7.209
Dy Pu Te
5 3 8
Cartesian
0.000 0.000 0.000
-2.182 -1.260 7.209
-2.182 1.260 14.418
0.000 2.519 7.209
0.000 0.000 10.813
-4.363 0.000 10.813
-2.182 1.260 3.604
2.182 1.260 3.604
0.000 -2.502 8.986
-2.167 1.251 8.986
0.000 0.000 5.443
-2.167 -1.251 12.641
2.167 1.251 8.986
0.000 0.000 16.184
2.167 -1.251 12.641
0.000 2.502 12.641
```

Results
formation energy from raw total energies = -1235 meV per atom
space-group type = No. 166

---

DFT (PBE) results for a relaxed NbCo3Se crystal.

Geometry as POSCAR:
```
NbCo3Se
1.0
4.266 0.000 0.000
0.000 4.266 0.000
0.000 0.000 4.266
Nb Co Se
1 3 1
Cartesian
0.000 0.000 0.000
0.000 2.133 2.133
2.133 0.000 2.133
2.133 2.133 0.000
2.133 2.133 2.133
```

Results
formation energy from raw total energies = 739 meV per atom
space-group type = No. 221

---

DFT (PBE) results for a relaxed Fe2SiHg crystal.

Geometry as POSCAR:
```
Fe2SiHg
1.0
3.876 -1.446 0.000
3.876 1.446 0.000
-1.113 0.000 5.341
Fe Si Hg
2 1 1
Cartesian
1.663 0.000 0.933
4.977 0.000 4.409
3.876 0.000 0.000
-0.557 0.000 2.671
```

Results
formation energy from raw total energies = 265 meV per atom
space-group type = No. 12

---

DFT (PBE) results for a relaxed Hg2Pd6Au crystal.

Geometry as POSCAR:
```
Hg2Pd6Au
1.0
6.869 -2.759 0.000
6.869 2.759 0.000
-1.466 0.000 4.254
Hg Pd Au
2 6 1
Cartesian
2.017 0.000 0.699
10.256 0.000 3.555
4.885 1.333 1.692
2.849 0.000 3.366
7.388 1.333 2.563
4.885 -1.333 1.692
9.424 0.000 0.888
7.388 -1.333 2.563
6.869 0.000 0.000
```

Results
energy of formation from the pure elements = -0.011 eV per atom
space-group type = No. 12

---

DFT (PBE) results for a relaxed MnOsBr2 crystal.

Geometry as POSCAR:
```
MnOsBr2
1.0
-1.737 2.081 6.963
1.737 -2.081 6.963
1.737 2.081 -6.963
Mn Os Br
1 1 2
Cartesian
0.000 0.000 0.000
0.000 0.000 6.963
1.737 0.000 5.082
0.000 2.081 1.881
```

Results
formation energy from raw total energies = 408 meV per atom
space-group type = No. 71

---

DFT (PBE) results for a relaxed Pm6PrIn4 crystal.

Geometry as POSCAR:
```
Pm6PrIn4
1.0
10.403 0.000 0.000
-5.202 9.009 0.000
0.000 0.000 3.765
Pm Pr In
6 1 4
Cartesian
0.000 3.445 0.000
-2.219 7.287 0.000
5.202 0.705 1.882
3.211 4.152 1.882
2.219 7.287 0.000
7.192 4.152 1.882
0.000 0.000 1.882
2.513 1.451 0.000
0.000 6.006 1.882
7.890 1.451 0.000
5.202 6.107 0.000
```

Results
energy of formation from the pure elements = -0.290 eV per atom
space-group type = No. 187

---

DFT (PBE) results for a relaxed TiV6Si3 crystal.

Geometry as POSCAR:
```
TiV6Si3
1.0
4.577 -4.852 0.000
4.577 4.852 0.000
0.000 0.000 6.465
Ti V Si
2 12 6
Cartesian
4.577 3.145 3.232
4.577 -3.145 0.000
2.321 1.795 4.354
1.404 0.756 2.170
1.404 -0.756 5.403
4.577 2.155 5.873
4.577 0.605 2.167
2.321 -1.795 1.121
6.833 1.795 4.354
4.577 -0.605 5.400
4.577 -2.155 2.640
7.751 0.756 2.170
7.751 -0.756 5.403
6.833 -1.795 1.121
4.577 4.059 0.926
2.836 0.733 0.228
2.836 -0.733 3.461
6.319 0.733 0.228
6.319 -0.733 3.461
4.577 -4.059 4.159
```

Results
formation energy from raw total energies = -223 meV per atom
space-group type = No. 36

---

DFT (PBE) results for a relaxed CaNb3Pd crystal.

Geometry as POSCAR:
```
CaNb3Pd
1.0
4.976 0.000 0.000
0.000 4.976 0.000
0.000 0.000 4.976
Ca Nb Pd
1 3 1
Cartesian
0.000 0.000 0.000
0.000 2.488 2.488
2.488 0.000 2.488
2.488 2.488 0.000
2.488 2.488 2.488
```

Results
energy of formation from the pure elements = 1.067 eV per atom
space-group type = No. 221

---

Computed values of uncorrected energy (unit: eV per atom) for the preceding records, in sequence: -2.26 -3.65 -4.61 -4.14 -4.97 -3.10 -5.05 -3.42 -6.56 -3.34 -6.69 -2.09 -6.93 -6.24 -5.40 -3.90 -5.53 -4.31 -8.11 -6.41.